# 1
# La2Ge3

A relaxed La2Ge3 crystal (PBE, Alexandria).

Cell: 5.9548 5.9548 5.9548 Å, 137.41 114.60 81.22°
Last column: nearest neighbours and their distance in Å.
Element x y z (fractional)
La  0.2232  0.2232  0.0000  8 Ge 3.15-3.31
La  0.7768  0.7768  0.0000  8 Ge 3.15-3.31
Ge  0.2016  0.5000  0.7016  3 Ge 2.59-2.89
Ge  0.5000  0.0000  0.5000  4 Ge 2.89
Ge  0.7984  0.5000  0.2984  3 Ge 2.59-2.89

## Properties
Calculated density in g cm⁻³: 6.544
Formation energy from the elements in eV/atom: -0.75



# 2
# TbGdI

A relaxed TbGdI crystal (PBE, Alexandria).

Cell: 7.4847 7.4847 7.4847 Å, 151.42 151.42 40.86°
Last column: nearest neighbours and their distance in Å.
Element x y z (fractional)
Tb  0.0000  0.0000  0.0000  4 I 3.46, 4 Gd 3.55, 4 Tb 3.69
Gd  0.3287  0.3287  0.0000  4 I 3.51, 4 Tb 3.55, 4 Gd 3.69
I  0.6617  0.6617  0.0000  4 Tb 3.46, 4 Gd 3.51, 4 I 3.69

## Properties
Calculated density in g cm⁻³: 7.684
Formation energy from raw total energies in eV/atom: -0.438



# 3
# PrMgAl2Pd5

A relaxed PrMgAl2Pd5 crystal (PBE, Alexandria).

Cell: 4.2169 4.2169 9.3180 Å, 90.00 90.00 90.00°
Last column: nearest neighbours and their distance in Å.
Element x y z (fractional)
Pr  0.0000  0.0000  0.0000  12 Pd 2.98-3.02
Mg  0.0000  0.0000  0.5000  8 Al 3.24, 8 Pd 3.26
Al  0.5000  0.5000  0.3642  4 Pd 2.44, 1 Al 2.53
Al  0.5000  0.5000  0.6358  4 Pd 2.44, 1 Al 2.53
Pd  0.0000  0.5000  0.2327  2 Al 2.44
Pd  0.0000  0.5000  0.7673  2 Al 2.44
Pd  0.5000  0.0000  0.2327  2 Al 2.44
Pd  0.5000  0.0000  0.7673  2 Al 2.44
Pd  0.5000  0.5000  0.0000  4 Pr 2.98, 8 Pd 3.02

## Properties
Calculated density in g cm⁻³: 7.529
Formation energy from the elements in eV/atom: -0.65



- calculated density of number 2 (TbGdI)?
  7.684 g cm⁻³



Please write out number 3 again, unchanged.
# PrMgAl2Pd5

A relaxed PrMgAl2Pd5 crystal (PBE, Alexandria).

Cell: 4.2169 4.2169 9.3180 Å, 90.00 90.00 90.00°
Last column: nearest neighbours and their distance in Å.
Element x y z (fractional)
Pr  0.0000  0.0000  0.0000  12 Pd 2.98-3.02
Mg  0.0000  0.0000  0.5000  8 Al 3.24, 8 Pd 3.26
Al  0.5000  0.5000  0.3642  4 Pd 2.44, 1 Al 2.53
Al  0.5000  0.5000  0.6358  4 Pd 2.44, 1 Al 2.53
Pd  0.0000  0.5000  0.2327  2 Al 2.44
Pd  0.0000  0.5000  0.7673  2 Al 2.44
Pd  0.5000  0.0000  0.2327  2 Al 2.44
Pd  0.5000  0.0000  0.7673  2 Al 2.44
Pd  0.5000  0.5000  0.0000  4 Pr 2.98, 8 Pd 3.02

## Properties
Calculated density in g cm⁻³: 7.529
Formation energy from the elements in eV/atom: -0.65



- Look up the calculated density of the third one.
  7.529 g cm⁻³



- Number 1 is which compound?
  La2Ge3